# 1
The following is a DFT calculation (PBE-GGA) of an optimized crystal structure of NaPIN2.

Results
For the uncorrected formation energy, the calculation gives 772.8 meV per atom. The energy above the most stable polymorph in this dataset is 0.0 kJ per mole of atoms.

The structure in POSCAR format:
```
NaPIN2
1.0
3.678 0.000 0.000
0.000 3.678 0.000
0.000 0.000 6.828
Na P I N
1 1 1 2
Direct
0.000 0.000 0.000
0.500 0.500 0.500
0.500 0.500 0.000
0.000 0.500 0.500
0.500 0.000 0.500
```

=====

# 2
The following is a DFT calculation (PBE-GGA) of an optimized crystal structure of NaPI2N.

Results
For the uncorrected formation energy, the calculation gives 1298.8 meV per atom. The energy above the most stable polymorph in this dataset is 119.8 kJ per mole of atoms.

The structure in POSCAR format:
```
NaPI2N
1.0
5.786 0.000 0.000
0.000 5.786 0.000
0.000 0.000 4.380
Na P I N
1 1 2 1
Direct
0.000 0.000 0.000
0.500 0.500 0.500
0.000 0.500 0.000
0.500 0.000 0.000
0.000 0.000 0.500
```

=====

# 3
The following is a DFT calculation (PBE-GGA) of an optimized crystal structure of NaPbIN2.

Results
For the uncorrected formation energy, the calculation gives 1518.1 meV per atom. The energy above the most stable polymorph in this dataset is 48.2 kJ per mole of atoms.

The structure in POSCAR format:
```
NaPbIN2
1.0
4.889 0.000 0.000
0.000 4.889 0.000
0.000 0.000 6.031
Na Pb I N
1 1 1 2
Direct
0.000 0.000 0.000
0.500 0.500 0.500
0.000 0.000 0.500
0.000 0.500 0.000
0.500 0.000 0.000
```

=====

# 4
The following is a DFT calculation (PBE-GGA) of an optimized crystal structure of NaPbIN2.

Results
For the uncorrected formation energy, the calculation gives 1018.9 meV per atom. The energy above the most stable polymorph in this dataset is 0.0 kJ per mole of atoms.

The structure in POSCAR format:
```
NaPbIN2
1.0
4.593 0.000 0.000
0.000 4.593 0.000
0.000 0.000 6.764
Na Pb I N
1 1 1 2
Direct
0.000 0.000 0.000
0.500 0.500 0.500
0.500 0.500 0.000
0.000 0.500 0.500
0.500 0.000 0.500
```

=====

# 5
The following is a DFT calculation (PBE-GGA) of an optimized crystal structure of NaPbI2N.

Results
For the uncorrected formation energy, the calculation gives 495.8 meV per atom. The energy above the most stable polymorph in this dataset is 19.5 kJ per mole of atoms.

The structure in POSCAR format:
```
NaPbI2N
1.0
5.990 0.000 0.000
0.000 5.990 0.000
0.000 0.000 4.483
Na Pb I N
1 1 2 1
Direct
0.000 0.000 0.000
0.500 0.500 0.500
0.000 0.500 0.000
0.500 0.000 0.000
0.000 0.000 0.500
```

=====

# 6
The following is a DFT calculation (PBE-GGA) of an optimized crystal structure of NaPb2IN.

Results
For the uncorrected formation energy, the calculation gives 1517.6 meV per atom. The energy above the most stable polymorph in this dataset is 60.0 kJ per mole of atoms.

The structure in POSCAR format:
```
NaPb2IN
1.0
5.721 0.000 0.000
0.000 5.721 0.000
0.000 0.000 5.348
Na Pb I N
1 2 1 1
Direct
0.000 0.000 0.000
0.000 0.500 0.000
0.500 0.000 0.000
0.000 0.000 0.500
0.500 0.500 0.500
```

=====

# 7
The following is a DFT calculation (PBE-GGA) of an optimized crystal structure of NaPb2IN.

Results
For the uncorrected formation energy, the calculation gives 896.1 meV per atom. The energy above the most stable polymorph in this dataset is 0.0 kJ per mole of atoms.

The structure in POSCAR format:
```
NaPb2IN
1.0
5.829 0.000 0.000
0.000 5.829 0.000
0.000 0.000 4.183
Na Pb I N
1 2 1 1
Direct
0.000 0.000 0.000
0.000 0.500 0.000
0.500 0.000 0.000
0.500 0.500 0.500
0.000 0.000 0.500
```

=====

# 8
The following is a DFT calculation (PBE-GGA) of an optimized crystal structure of NaPbI2N.

Results
For the uncorrected formation energy, the calculation gives 293.4 meV per atom. The energy above the most stable polymorph in this dataset is 0.0 kJ per mole of atoms.

The structure in POSCAR format:
```
NaPbI2N
1.0
6.377 0.000 0.000
0.000 6.377 0.000
0.000 0.000 5.434
Na Pb I N
1 1 2 1
Direct
0.000 0.000 0.000
0.500 0.500 0.500
0.000 0.500 0.500
0.500 0.000 0.500
0.500 0.500 0.000
```

=====

# 9
The following is a DFT calculation (PBE-GGA) of an optimized crystal structure of NaPr4I7N2.

Results
For the uncorrected formation energy, the calculation gives -1461.3 meV per atom.

The structure in POSCAR format:
```
NaPr4I7N2
1.0
14.762 0.000 0.000
0.000 11.313 0.000
0.000 0.000 12.157
Na Pr I N
4 16 28 8
Direct
0.101 0.049 0.000
0.399 0.549 0.500
0.601 0.451 0.000
0.899 0.951 0.500
0.078 0.386 0.773
0.080 0.382 0.311
0.083 0.628 0.544
0.107 0.566 0.040
0.393 0.066 0.540
0.417 0.128 0.044
0.420 0.882 0.811
0.422 0.886 0.273
0.578 0.114 0.773
0.580 0.118 0.311
0.583 0.872 0.544
0.607 0.934 0.040
0.893 0.434 0.540
0.917 0.372 0.044
0.920 0.618 0.811
0.922 0.614 0.273
0.010 0.202 0.528
0.013 0.847 0.696
0.043 0.832 0.353
0.206 0.303 0.007
0.219 0.616 0.806
0.222 0.404 0.545
0.244 0.563 0.253
0.256 0.063 0.753
0.278 0.904 0.045
0.281 0.116 0.306
0.294 0.803 0.507
0.457 0.332 0.853
0.487 0.347 0.196
0.490 0.702 0.028
0.510 0.298 0.528
0.513 0.653 0.696
0.543 0.668 0.353
0.706 0.197 0.007
0.719 0.884 0.806
0.722 0.096 0.545
0.744 0.937 0.253
0.756 0.437 0.753
0.778 0.596 0.045
0.781 0.384 0.306
0.794 0.697 0.507
0.957 0.168 0.853
0.987 0.153 0.196
0.990 0.798 0.028
0.003 0.483 0.916
0.007 0.483 0.167
0.493 0.983 0.667
0.497 0.983 0.416
0.503 0.017 0.916
0.507 0.017 0.167
0.993 0.517 0.667
0.997 0.517 0.416
```

=====

# 10
The following is a DFT calculation (PBE-GGA) of an optimized crystal structure of NaPtIN2.

Results
For the uncorrected formation energy, the calculation gives 718.3 meV per atom. The energy above the most stable polymorph in this dataset is 0.0 kJ per mole of atoms.

The structure in POSCAR format:
```
NaPtIN2
1.0
3.877 0.000 0.000
0.000 3.877 0.000
0.000 0.000 8.613
Na Pt I N
1 1 1 2
Direct
0.000 0.000 0.000
0.500 0.500 0.500
0.500 0.500 0.000
0.000 0.500 0.500
0.500 0.000 0.500
```

=====

# 11
The following is a DFT calculation (PBE-GGA) of an optimized crystal structure of NaPtIN2.

Results
For the uncorrected formation energy, the calculation gives 2074.0 meV per atom. The energy above the most stable polymorph in this dataset is 130.8 kJ per mole of atoms.

The structure in POSCAR format:
```
NaPtIN2
1.0
4.260 0.000 0.000
0.000 4.260 0.000
0.000 0.000 6.370
Na Pt I N
1 1 1 2
Direct
0.000 0.000 0.000
0.500 0.500 0.500
0.000 0.000 0.500
0.000 0.500 0.000
0.500 0.000 0.000
```

=====

# 12
The following is a DFT calculation (PBE-GGA) of an optimized crystal structure of Rb2NaI6N.

Results
For the uncorrected formation energy, the calculation gives -316.6 meV per atom.

The structure in POSCAR format:
```
Rb2NaI6N
1.0
0.000 5.751 5.751
5.751 0.000 5.751
5.751 5.751 0.000
Rb Na I N
2 1 6 1
Direct
0.250 0.250 0.250
0.750 0.750 0.750
0.000 0.000 0.000
0.273 0.273 0.727
0.273 0.727 0.273
0.273 0.727 0.727
0.727 0.273 0.273
0.727 0.273 0.727
0.727 0.727 0.273
0.500 0.500 0.500
```

=====

# 13
The following is a DFT calculation (PBE-GGA) of an optimized crystal structure of NaReIN2.

Results
For the uncorrected formation energy, the calculation gives 199.4 meV per atom. The energy above the most stable polymorph in this dataset is 0.0 kJ per mole of atoms.

The structure in POSCAR format:
```
NaReIN2
1.0
3.942 0.000 0.000
0.000 3.942 0.000
0.000 0.000 5.879
Na Re I N
1 1 1 2
Direct
0.000 0.000 0.000
0.500 0.500 0.500
0.500 0.500 0.000
0.000 0.500 0.500
0.500 0.000 0.500
```